1.
VASP calculation (PBE) on a geometry-optimized MgNiAg2 structure.

The energy of formation from the pure elements is 0.2398 eV per atom. Its final energy is -0.2227 Ry per atom. The value obtained for the total magnetization is 0.000 μB per formula unit.

The structure belongs to space group I-42d (No. 122); the cell edges are 3.846, 3.846 and 19.033 Å and the angles 90.00°, 90.00° and 90.00°. The inequivalent atoms are Mg at (0.000, 0.000, 0.000), Ni at (0.000, 0.000, 0.500) and Ag at (0.244, 0.250, 0.625).

***

2.
VASP calculation (PBE) on a geometry-optimized Rb2ZnHg2 structure.

The value obtained for the distance to the lowest polymorph of the same formula is 89 meV/atom. The energy of formation from the pure elements is 0.0221 eV per atom. Its final energy is -0.0544 Ry per atom. The value obtained for the total magnetization is 0.000 μB per formula unit.

The structure belongs to space group P4/mbm (No. 127); the cell edges are 10.249, 10.249 and 4.279 Å and the angles 90.00°, 90.00° and 90.00°. The inequivalent atoms are Rb at (0.186, 0.314, 0.000), Zn at (0.000, 0.000, 0.000) and Hg at (0.106, 0.606, 0.500).

***

3.
VASP calculation (PBE) on a geometry-optimized Gd2BeTl structure.

The energy of formation from the pure elements is -0.1229 eV per atom. Its final energy is -0.6384 Ry per atom. The value obtained for the total magnetization is 14.516 μB per formula unit.

The structure belongs to space group P4/mmm (No. 123); the cell edges are 3.577, 3.577 and 7.592 Å and the angles 90.00°, 90.00° and 90.00°. The inequivalent atoms are Gd at (0.000, 0.000, 0.218), Be at (0.500, 0.500, 0.000) and Tl at (0.500, 0.500, 0.500).

***

4.
VASP calculation (PBE) on a geometry-optimized HfTi5Co6 structure.

The energy of formation from the pure elements is -0.3740 eV per atom. Its final energy is -0.5914 Ry per atom. The value obtained for the total magnetization is 4.236 μB per formula unit.

The structure belongs to space group P2/m (No. 10); the cell edges are 4.219, 6.126 and 6.666 Å and the angles 90.00°, 108.26° and 90.00°. The inequivalent atoms are Hf at (0.000, 0.000, 0.000), Ti at (0.000, 0.500, 0.000), Ti at (0.330, 0.000, 0.660), Ti at (0.333, 0.500, 0.667), Co at (0.170, 0.257, 0.340) and Co at (0.500, 0.262, 0.000).

***

5.
VASP calculation (PBE) on a geometry-optimized V2Ni6Pt structure.

The value obtained for the distance to the lowest polymorph of the same formula is 0 meV/atom. The energy of formation from the pure elements is -0.2543 eV per atom. Its final energy is -0.5002 Ry per atom. The value obtained for the total magnetization is 0.000 μB per formula unit.

The structure belongs to space group C2/m (No. 12); the cell edges are 8.166, 3.581 and 7.685 Å and the angles 90.00°, 109.10° and 90.00°. The inequivalent atoms are V at (0.178, 0.000, 0.237), Ni at (0.002, 0.500, 0.338), Ni at (0.166, 0.000, 0.553), Ni at (0.167, 0.000, 0.881) and Pt at (0.000, 0.500, 0.000).

***

6.
VASP calculation (PBE) on a geometry-optimized KW2Se structure.

Its final energy is -0.4861 Ry per atom. The value obtained for the total magnetization is 0.000 μB per formula unit. The uncorrected formation energy comes out at 1008 meV/atom.

The structure belongs to space group R-3m (No. 166, hexagonal axes); the cell edges are 2.9926, 2.9926 and 30.5126 Å and the angles 90.00°, 90.00° and 120.00°. The inequivalent atoms are K at (0.0000, 0.0000, 0.0000), W at (0.0000, 0.0000, 0.2316) and Se at (0.0000, 0.0000, 0.5000).

***

7.
VASP calculation (PBE) on a geometry-optimized Sr2Ga5Pt3 structure.

The value obtained for the distance to the lowest polymorph of the same formula is 0 meV/atom. The energy of formation from the pure elements is -0.7918 eV per atom. Its final energy is -0.3274 Ry per atom. The value obtained for the total magnetization is 0.000 μB per formula unit.

The structure belongs to space group Ibam (No. 72); the cell edges are 10.515, 12.768 and 6.017 Å and the angles 90.00°, 90.00° and 90.00°. The inequivalent atoms are Sr at (0.230, 0.135, 0.000), Ga at (0.000, 0.000, 0.250), Ga at (0.000, 0.283, 0.250), Ga at (0.159, 0.400, 0.000), Pt at (0.000, 0.500, 0.250) and Pt at (0.103, 0.140, 0.500).

***

8.
VASP calculation (PBE) on a geometry-optimized CdIn5HgBi2 structure.

The energy of formation from the pure elements is 0.0477 eV per atom. Its final energy is -0.1816 Ry per atom. The value obtained for the total magnetization is 0.000 μB per formula unit.

The structure belongs to space group Cmc2_1 (No. 36); the cell edges are 4.534, 17.692 and 13.532 Å and the angles 90.00°, 90.00° and 90.00°. The inequivalent atoms are Cd at (0.000, 0.198, 0.000), In at (0.000, 0.060, 0.147), In at (0.000, 0.297, 0.680), In at (0.000, 0.329, 0.343), In at (0.000, 0.367, 0.029), In at (0.000, 0.481, 0.804), Hg at (0.000, 0.455, 0.504), Bi at (0.000, 0.115, 0.699) and Bi at (0.000, 0.152, 0.352).

***

9.
VASP calculation (PBE) on a geometry-optimized CrRhSe2 structure.

The value obtained for the distance to the lowest polymorph of the same formula is 355 meV/atom. Its final energy is -0.4377 Ry per atom. The value obtained for the total magnetization is 3.544 μB per formula unit. The uncorrected formation energy comes out at 31 meV/atom.

The structure belongs to space group Fm-3m (No. 225); the cell edges are 6.371, 6.371 and 6.371 Å and the angles 90.00°, 90.00° and 90.00°. The inequivalent atoms are Cr at (0.000, 0.000, 0.000), Rh at (0.000, 0.000, 0.500) and Se at (0.250, 0.250, 0.250).

***

10.
VASP calculation (PBE) on a geometry-optimized Cs2LiPmBr6 structure.

Its final energy is -0.2687 Ry per atom. The value obtained for the total magnetization is 0.000 μB per formula unit. The uncorrected formation energy comes out at -1815 meV/atom.

The structure belongs to space group Pmmn (No. 59, origin choice 2); the cell edges are 8.005, 11.325 and 8.005 Å and the angles 90.00°, 90.00° and 90.00°. The inequivalent atoms are Cs at (0.250, 0.000, 0.250), Li at (0.250, 0.250, 0.749), Pm at (0.250, 0.750, 0.751), Br at (0.003, 0.250, 0.996), Br at (0.004, 0.250, 0.503) and Br at (0.250, 0.004, 0.750).